# Ga2Ag3S4 | the Alexandria database | PBE-GGA | optimized geometry
# Formation energy (no corrections) (meV/atom): -305
# Space-group type: C2/c (15)
data_Ga2Ag3S4
_cell_length_a 8.6895
_cell_length_b 8.6895
_cell_length_c 5.9606
_cell_angle_alpha 92.16
_cell_angle_beta 92.16
_cell_angle_gamma 76.77
_symmetry_space_group_name_H-M 'P 1'
_symmetry_Int_Tables_number 1
_symmetry_space_group_name_Hall 'P 1'
loop_
_atom_site_label
_atom_site_type_symbol
_atom_site_fract_x
_atom_site_fract_y
_atom_site_fract_z
Ga1 Ga 0.1276 0.3528 0.3989
Ga2 Ga 0.3528 0.1276 0.8989
Ga3 Ga 0.6472 0.8724 0.1011
Ga4 Ga 0.8724 0.6472 0.6011
Ag1 Ag 0.3007 0.6993 0.2500
Ag2 Ag 0.3553 0.4775 0.8714
Ag3 Ag 0.4775 0.3553 0.3714
Ag4 Ag 0.5225 0.6447 0.6286
Ag5 Ag 0.6447 0.5225 0.1286
Ag6 Ag 0.6993 0.3007 0.7500
S1 S 0.1423 0.6083 0.5330
S2 S 0.1516 0.3285 0.0140
S3 S 0.3285 0.1516 0.5140
S4 S 0.3917 0.8577 0.9670
S5 S 0.6083 0.1423 0.0330
S6 S 0.6715 0.8484 0.4860
S7 S 0.8484 0.6715 0.9860
S8 S 0.8577 0.3917 0.4670

=====

# GaAg8S6 | the Alexandria database | PBE-GGA | optimized geometry
# Formation energy (no corrections) (meV/atom): -138
# Space-group type: Pmn2_1 (31)
data_GaAg8S6
_cell_length_a 7.7752
_cell_length_b 7.5918
_cell_length_c 10.4518
_cell_angle_alpha 90.00
_cell_angle_beta 90.00
_cell_angle_gamma 90.00
_symmetry_space_group_name_H-M 'P 1'
_symmetry_Int_Tables_number 1
_symmetry_space_group_name_Hall 'P 1'
loop_
_atom_site_label
_atom_site_type_symbol
_atom_site_fract_x
_atom_site_fract_y
_atom_site_fract_z
Ga1 Ga 0.0000 0.2482 0.0000
Ga2 Ga 0.5000 0.7518 0.5000
Ag1 Ag 0.0000 0.6263 0.5080
Ag2 Ag 0.0000 0.7030 0.9574
Ag3 Ag 0.1981 0.1005 0.3484
Ag4 Ag 0.2063 0.5303 0.7475
Ag5 Ag 0.2182 0.1553 0.6314
Ag6 Ag 0.2818 0.8447 0.1314
Ag7 Ag 0.2937 0.4697 0.2475
Ag8 Ag 0.3019 0.8995 0.8484
Ag9 Ag 0.5000 0.2970 0.4574
Ag10 Ag 0.5000 0.3737 0.0080
Ag11 Ag 0.6981 0.8995 0.8484
Ag12 Ag 0.7063 0.4697 0.2475
Ag13 Ag 0.7182 0.8447 0.1314
Ag14 Ag 0.7818 0.1553 0.6314
Ag15 Ag 0.7937 0.5303 0.7475
Ag16 Ag 0.8019 0.1005 0.3484
S1 S 0.0000 0.0107 0.1392
S2 S 0.0000 0.2876 0.4919
S3 S 0.0000 0.4874 0.1322
S4 S 0.0000 0.7951 0.7305
S5 S 0.2442 0.2422 0.8790
S6 S 0.2558 0.7578 0.3790
S7 S 0.5000 0.2049 0.2305
S8 S 0.5000 0.5126 0.6322
S9 S 0.5000 0.7124 0.9919
S10 S 0.5000 0.9893 0.6392
S11 S 0.7442 0.7578 0.3790
S12 S 0.7558 0.2422 0.8790

=====

# Ga4AgS7 | the Alexandria database | PBE-GGA | optimized geometry
# Formation energy (no corrections) (meV/atom): -489
# Space-group type: Pmn2_1 (31)
data_Ga4AgS7
_cell_length_a 14.4690
_cell_length_b 6.6834
_cell_length_c 6.2533
_cell_angle_alpha 90.00
_cell_angle_beta 90.00
_cell_angle_gamma 90.00
_symmetry_space_group_name_H-M 'P 1'
_symmetry_Int_Tables_number 1
_symmetry_space_group_name_Hall 'P 1'
loop_
_atom_site_label
_atom_site_type_symbol
_atom_site_fract_x
_atom_site_fract_y
_atom_site_fract_z
Ga1 Ga 0.1268 0.1725 0.0000
Ga2 Ga 0.2413 0.3278 0.4800
Ga3 Ga 0.2587 0.6722 0.9800
Ga4 Ga 0.3732 0.8275 0.5000
Ga5 Ga 0.6268 0.8275 0.5000
Ga6 Ga 0.7413 0.6722 0.9800
Ga7 Ga 0.7587 0.3278 0.4800
Ga8 Ga 0.8732 0.1725 0.0000
Ag1 Ag 0.0000 0.6601 0.8877
Ag2 Ag 0.5000 0.3399 0.3877
S1 S 0.0000 0.2986 0.8288
S2 S 0.1121 0.1714 0.3597
S3 S 0.1401 0.8591 0.8425
S4 S 0.2450 0.6576 0.3551
S5 S 0.2550 0.3424 0.8551
S6 S 0.3599 0.1409 0.3425
S7 S 0.3879 0.8286 0.8597
S8 S 0.5000 0.7014 0.3288
S9 S 0.6121 0.8286 0.8597
S10 S 0.6401 0.1409 0.3425
S11 S 0.7450 0.3424 0.8551
S12 S 0.7550 0.6576 0.3551
S13 S 0.8599 0.8591 0.8425
S14 S 0.8879 0.1714 0.3597

=====

# GaAg3S | the Alexandria database | PBE-GGA | optimized geometry
# Formation energy (no corrections) (meV/atom): 686
# Space-group type: Pm-3m (221)
# Polymorph energy (0 for the lowest one) (eV per atom): 0.348
data_GaAg3S
_cell_length_a 4.8838
_cell_length_b 4.8838
_cell_length_c 4.8838
_cell_angle_alpha 90.00
_cell_angle_beta 90.00
_cell_angle_gamma 90.00
_symmetry_space_group_name_H-M 'P 1'
_symmetry_Int_Tables_number 1
_symmetry_space_group_name_Hall 'P 1'
loop_
_atom_site_label
_atom_site_type_symbol
_atom_site_fract_x
_atom_site_fract_y
_atom_site_fract_z
Ga1 Ga 0.0000 0.0000 0.0000
Ag1 Ag 0.0000 0.0000 0.5000
Ag2 Ag 0.0000 0.5000 0.0000
Ag3 Ag 0.5000 0.0000 0.0000
S1 S 0.5000 0.5000 0.5000

=====

# GaAg2S2 | the Alexandria database | PBE-GGA | optimized geometry
# Formation energy (no corrections) (meV/atom): 81
# Space-group type: P4/mbm (127)
# Polymorph energy (0 for the lowest one) (eV per atom): 0.000
data_GaAg2S2
_cell_length_a 7.1913
_cell_length_b 7.1913
_cell_length_c 3.7333
_cell_angle_alpha 90.00
_cell_angle_beta 90.00
_cell_angle_gamma 90.00
_symmetry_space_group_name_H-M 'P 1'
_symmetry_Int_Tables_number 1
_symmetry_space_group_name_Hall 'P 1'
loop_
_atom_site_label
_atom_site_type_symbol
_atom_site_fract_x
_atom_site_fract_y
_atom_site_fract_z
Ga1 Ga 0.0000 0.0000 0.0000
Ga2 Ga 0.5000 0.5000 0.0000
Ag1 Ag 0.1370 0.3630 0.5000
Ag2 Ag 0.3630 0.8630 0.5000
Ag3 Ag 0.6370 0.1370 0.5000
Ag4 Ag 0.8630 0.6370 0.5000
S1 S 0.1789 0.6789 0.0000
S2 S 0.3211 0.1789 0.0000
S3 S 0.6789 0.8211 0.0000
S4 S 0.8211 0.3211 0.0000

=====

# GaAgSbS2 | the Alexandria database | PBE-GGA | optimized geometry
# Formation energy (no corrections) (meV/atom): 502
# Space-group type: P4/mmm (123)
data_GaAgSbS2
_cell_length_a 4.6263
_cell_length_b 4.6263
_cell_length_c 5.6172
_cell_angle_alpha 90.00
_cell_angle_beta 90.00
_cell_angle_gamma 90.00
_symmetry_space_group_name_H-M 'P 1'
_symmetry_Int_Tables_number 1
_symmetry_space_group_name_Hall 'P 1'
loop_
_atom_site_label
_atom_site_type_symbol
_atom_site_fract_x
_atom_site_fract_y
_atom_site_fract_z
Ga1 Ga 0.0000 0.0000 0.0000
Ag1 Ag 0.5000 0.5000 0.5000
Sb1 Sb 0.0000 0.0000 0.5000
S1 S 0.0000 0.5000 0.0000
S2 S 0.5000 0.0000 0.0000

=====

Spin magnetization values (in μB per formula unit) by entry order: 0.0 0.0 0.0 0.0 0.0 0.0.
Energy values (in eV/atom) by entry order: -3.763 -3.511 -4.143 -2.455 -3.316 -3.149.